# 1
This record from Alexandria via LeMat-Bulk describes crystalline LaAlZnPd2 at its relaxed geometry. The functional is PBE.

Calculated values
ΔH_f (0 K), kJ per mole of atoms: -70.8
DOS at the Fermi energy, states/eV per cell: 4.6

a = 4.210 Å, b = 4.210 Å, c = 11.291 Å
α = 90.00°, β = 90.00°, γ = 90.00°
Space group I-4m2 (No. 119)
Asymmetric unit:
La (0.000, 0.000, 0.000)
Al (0.000, 0.500, 0.250)
Zn (0.000, 0.500, 0.750)
Pd (0.000, 0.000, 0.379)



# 2
This record from Alexandria via LeMat-Bulk describes crystalline Na3MgC2ClO6 at its relaxed geometry. The functional is PBE.

Calculated values
Formation energy (no corrections), eV per atom: -1.88
DOS at the Fermi energy, states/eV per cell: 0.0

a = 14.191 Å, b = 14.191 Å, c = 14.191 Å
α = 90.00°, β = 90.00°, γ = 90.00°
Space group Fd-3 (No. 203, origin choice 2)
Asymmetric unit:
Na (0.102, 0.375, 0.375)
Mg (0.000, 0.000, 0.500)
C (0.033, 0.033, 0.717)
Cl (0.000, 0.000, 0.000)
O (0.014, 0.104, 0.771)



# 3
This record from Alexandria via LeMat-Bulk describes crystalline BiSb2Pd2 at its relaxed geometry. The functional is PBE.

Calculated values
Offset from the most stable computed form, meV per atom: 0.0
Formation energy (no corrections), eV per atom: -0.19
DOS at the Fermi energy, states/eV per cell: 4.2

a = 8.014 Å, b = 8.014 Å, c = 3.451 Å
α = 90.00°, β = 90.00°, γ = 90.00°
Space group P4/mbm (No. 127)
Asymmetric unit:
Bi (0.000, 0.000, 0.000)
Sb (0.154, 0.346, 0.500)
Pd (0.132, 0.632, 0.000)